Entry from Alexandria via LeMat-Bulk: crystalline ZrIn2Hg at its relaxed geometry (GGA-PBE).

Lattice parameters (Å, degrees): 11.6530 3.3156 5.3499 90.00 115.41 90.00
With the nearest neighbours (Å) after each atom.
Space group Cm (No. 8)
Asymmetric unit:
1 Zr 0.0000 0.0000 0.0000 x2  7 In 3.06-3.24, 3 Hg 3.17-3.31, 2 Zr 3.32
2 In 0.0067 0.5000 0.4870 x2  4 Zr 3.06-3.24, 3 Hg 3.09-3.26, 5 In 3.17-3.34
3 In 0.2455 0.5000 0.0712 x2  4 Hg 3.13-3.18, 3 Zr 3.15-3.18, 5 In 3.17-3.34
4 Hg 0.2636 0.0000 0.5825 x2  7 In 3.09-3.26, 3 Zr 3.17-3.31, 2 Hg 3.32

## Properties
DOS(E_F)   8.2 states/eV/cell
M_tot   0.01 μB per cell
Final energy   -3.70 eV/atom